1.
This record from the Alexandria database describes crystalline YP2Ir at its relaxed geometry. The functional is PBE.

Unit cell a=3.8363 b=3.8363 c=17.0591 alpha=90.00 beta=90.00 gamma=120.00
With the nearest neighbours (Å) after each atom.
Space group R3m (No. 160, hexagonal axes)
One atom of each set of equivalent atoms:
Y 0.0000 0.0000 0.0000 [3 per cell]  6 P 2.78-2.96
P 0.0000 0.0000 0.2186 [3 per cell]  3 Ir 2.52
P 0.0000 0.0000 0.4314 [3 per cell]  3 Ir 2.37
Ir 0.0000 0.0000 0.8150 [3 per cell]  6 P 2.37-2.52

Results
Magnetic moment in Bohr magnetons per cell: 0.000
ΔH_f (0 K) in eV/atom: -0.9293
E_tot in eV/atom: -7.47


2.
This record from the Alexandria database describes crystalline YZnP2Ir5 at its relaxed geometry. The functional is PBE.

Unit cell a=4.0337 b=4.0337 c=9.8886 alpha=90.00 beta=90.00 gamma=90.00
With the nearest neighbours (Å) after each atom.
Space group P4/mmm (No. 123)
One atom of each set of equivalent atoms:
Y 0.0000 0.0000 0.0000 [1 per cell]  4 Ir 2.85
Zn 0.0000 0.0000 0.5000 [1 per cell]  8 Ir 2.57
P 0.5000 0.5000 0.2300 [2 per cell]  5 Ir 2.27-2.29
Ir 0.0000 0.5000 0.3392 [4 per cell]  2 P 2.29
Ir 0.5000 0.5000 0.0000 [1 per cell]  2 P 2.27

Results
Magnetic moment in Bohr magnetons per cell: 0.000
ΔH_f (0 K) in eV/atom: -0.3732
E_tot in eV/atom: -7.36


3.
This record from the Alexandria database describes crystalline ZnPIr2 at its relaxed geometry. The functional is PBE.

Unit cell a=2.8743 b=2.8743 c=24.3077 alpha=90.00 beta=90.00 gamma=120.00
With the nearest neighbours (Å) after each atom.
Space group R3m (No. 160, hexagonal axes)
One atom of each set of equivalent atoms:
Zn 0.0000 0.0000 0.0000 [3 per cell]  3 Ir 2.61, 3 P 2.68, 6 Zn 2.87
P 0.0000 0.0000 0.7531 [3 per cell]  3 Ir 2.38
Ir 0.0000 0.0000 0.2504 [3 per cell]  3 Zn 2.61, 9 Ir 2.82-2.87
Ir 0.0000 0.0000 0.4900 [3 per cell]  3 P 2.38

Results
Magnetic moment in Bohr magnetons per cell: 0.004
ΔH_f (0 K) in eV/atom: 0.0095
E_tot in eV/atom: -6.09


4.
This record from the Alexandria database describes crystalline ZnPIr2 at its relaxed geometry. The functional is PBE.

Unit cell a=2.7310 b=4.7314 c=10.2933 alpha=90.00 beta=90.00 gamma=90.00
With the nearest neighbours (Å) after each atom.
Space group Cmm2 (No. 35)
One atom of each set of equivalent atoms:
Zn 0.0000 0.0000 0.0000 [2 per cell]  2 Ir 2.65, 6 Zn 2.73
P 0.0000 0.5000 0.6444 [2 per cell]  2 Ir 2.39
Ir 0.0000 0.0000 0.4543 [2 per cell]  2 P 2.39
Ir 0.0000 0.5000 0.2204 [2 per cell]  2 Zn 2.65, 8 Ir 2.73-2.77

Results
Magnetic moment in Bohr magnetons per cell: 0.000
ΔH_f (0 K) in eV/atom: 0.2167
E_tot in eV/atom: -5.88


5.
This record from the Alexandria database describes crystalline ZnPIr2 at its relaxed geometry. The functional is PBE.

Unit cell a=2.9002 b=4.1317 c=4.8365 alpha=90.00 beta=90.00 gamma=90.00
With the nearest neighbours (Å) after each atom.
Space group Pmmm (No. 47)
One atom of each set of equivalent atoms:
Zn 0.0000 0.0000 0.0000 [1 per cell]  4 Ir 2.52, 4 P 2.82
P 0.5000 0.0000 0.5000 [1 per cell]  4 Ir 2.52, 4 Zn 2.82
Ir 0.0000 0.5000 0.5000 [1 per cell]  4 P 2.52, 4 Ir 2.82
Ir 0.5000 0.5000 0.0000 [1 per cell]  4 Zn 2.52, 4 Ir 2.82

Results
Magnetic moment in Bohr magnetons per cell: 0.000
ΔH_f (0 K) in eV/atom: 0.1754
E_tot in eV/atom: -5.93


6.
This record from the Alexandria database describes crystalline ZnP2Ir at its relaxed geometry. The functional is PBE.

Unit cell a=9.1086 b=3.7774 c=4.8563 alpha=90.00 beta=90.68 gamma=90.00
With the nearest neighbours (Å) after each atom.
Space group Cm (No. 8)
One atom of each set of equivalent atoms:
Zn 0.0000 0.0000 0.0000 [2 per cell]  1 Ir 2.47, 2 P 2.52-2.54
P 0.2660 0.5000 0.7163 [2 per cell]  1 P 2.09, 2 Ir 2.34
P 0.2685 0.5000 0.2855 [2 per cell]  1 P 2.09, 2 Ir 2.34
Ir 0.2712 0.0000 0.0012 [2 per cell]  4 P 2.34, 1 Zn 2.47

Results
Magnetic moment in Bohr magnetons per cell: 0.000
ΔH_f (0 K) in eV/atom: -0.1237
E_tot in eV/atom: -5.36


7.
This record from the Alexandria database describes crystalline ZnPIr at its relaxed geometry. The functional is PBE.

Unit cell a=5.6668 b=5.6668 c=5.6668 alpha=90.00 beta=90.00 gamma=90.00
With the nearest neighbours (Å) after each atom.
Space group F-43m (No. 216)
One atom of each set of equivalent atoms:
Zn 0.0000 0.0000 0.0000 [4 per cell]  4 P 2.45
P 0.2500 0.2500 0.7500 [4 per cell]  4 Ir 2.45, 4 Zn 2.45
Ir 0.0000 0.0000 0.5000 [4 per cell]  4 P 2.45

Results
Magnetic moment in Bohr magnetons per cell: 0.000
ΔH_f (0 K) in eV/atom: 0.0184
E_tot in eV/atom: -5.16


8.
This record from the Alexandria database describes crystalline ZnP2Ir at its relaxed geometry. The functional is PBE.

Unit cell a=3.1063 b=3.1063 c=21.1583 alpha=90.00 beta=90.00 gamma=120.00
With the nearest neighbours (Å) after each atom.
Space group R3m (No. 160, hexagonal axes)
One atom of each set of equivalent atoms:
Zn 0.0000 0.0000 0.0000 [3 per cell]  3 P 2.59, 3 Ir 2.71
P 0.0000 0.0000 0.2449 [3 per cell]  3 P 2.40, 3 Zn 2.59
P 0.0000 0.0000 0.5029 [3 per cell]  3 Ir 2.37, 3 P 2.40
Ir 0.0000 0.0000 0.7627 [3 per cell]  3 P 2.37

Results
Magnetic moment in Bohr magnetons per cell: 0.000
ΔH_f (0 K) in eV/atom: 0.0573
E_tot in eV/atom: -5.18